TaCoO3 PBE with a Hubbard U relaxed; symmetry = Pm-3m, No. 221; calculated total energy = -6.965 eV/atom
1.0
3.629 0.000 0.000
0.000 3.629 0.000
0.000 0.000 3.629
Ta Co O
1 1 3
Direct
0.000 0.000 0.000 Ta
0.500 0.500 0.500 Co
0.000 0.500 0.500 O
0.500 0.000 0.500 O
0.500 0.500 0.000 O